CuSbIrRu after structural relaxation, computed with GGA-PBE.

Structure (POSCAR):
```
CuSbIrRu
1.0
0.0000 3.1130 3.1130
3.1130 0.0000 3.1130
3.1130 3.1130 0.0000
Cu Sb Ir Ru
1 1 1 1
Direct
0.0000 0.0000 0.0000
0.5000 0.5000 0.5000
0.7500 0.7500 0.7500
0.2500 0.2500 0.2500
```

Properties
DOS at the Fermi energy = 1.70 states/eV/cell
Uncorrected formation energy = 24 meV per atom
Space-group type = F-43m